(1)
Below is a geometry-optimized TaAg2Se structure, with properties calculated at the PBE-GGA level.

Results
Volume: 18.1 Å³/atom
Formation energy without anion corrections: 0.262 eV/atom
Magnetization: 0.00 μB/cell
DOS at the Fermi energy: 0.652 states/eV/atom
Energy: -19.99 eV/f.u.

a = 5.805 Å, b = 5.805 Å, c = 4.532 Å
α = 66.92°, β = 66.92°, γ = 31.20°
Fractional coordinates of all 4 atoms:
Ag  0.993  0.993  0.007
Ag  0.507  0.507  0.493
Se  0.250  0.250  0.250
Ta  0.750  0.750  0.750

---

(2)
Below is a geometry-optimized CS structure, with properties calculated at the PBE-GGA level.

Results
Volume: 20.0 Å³/atom
Formation energy without anion corrections: 1.349 eV/atom
Magnetization: 0.00 μB/cell
E above lowest polymorph: 0.25 eV per formula unit
DOS at the Fermi energy: 0.208 states/eV/atom
Energy: -10.65 eV/f.u.

a = 2.740 Å, b = 6.766 Å, c = 12.938 Å
α = 90.00°, β = 90.00°, γ = 90.00°
Fractional coordinates of all 12 atoms:
S  0.500  0.160  0.000
S  0.000  0.723  0.852
S  0.500  0.277  0.648
S  0.000  0.723  0.148
S  0.500  0.277  0.352
S  0.000  0.840  0.500
C  0.000  0.143  0.383
C  0.500  0.857  0.883
C  0.500  0.857  0.117
C  0.500  0.697  0.500
C  0.000  0.143  0.617
C  0.000  0.303  0.000

---

(3)
Below is a geometry-optimized ReSi2Au structure, with properties calculated at the PBE-GGA level.

Results
Volume: 14.7 Å³/atom
Formation energy without anion corrections: 0.278 eV/atom
Magnetization: 0.00 μB/cell
E above lowest polymorph: 1.19 eV per formula unit
DOS at the Fermi energy: 0.121 states/eV/atom
Energy: -25.46 eV/f.u.

a = 4.612 Å, b = 4.612 Å, c = 4.612 Å
α = 128.33°, β = 128.32°, γ = 76.10°
Fractional coordinates of all 4 atoms:
Si  0.500  0.500  0.000
Si  0.000  0.000  0.000
Au  0.750  0.250  0.500
Re  0.250  0.750  0.500

---

(4)
Below is a geometry-optimized Tb3GeP2Rh9 structure, with properties calculated at the PBE-GGA level.

Results
Volume: 18.6 Å³/atom
Magnetization: 0.00 μB/cell
DOS at the Fermi energy: 0.258 states/eV/atom
Energy: -105.70 eV/f.u.

a = 6.096 Å, b = 6.096 Å, c = 8.675 Å
α = 90.00°, β = 90.00°, γ = 120.00°
Fractional coordinates of all 15 atoms:
P  0.667  0.333  0.832
P  0.333  0.667  0.168
Rh  0.850  0.699  0.717
Rh  0.150  0.301  0.283
Rh  0.000  0.500  0.000
Rh  0.301  0.150  0.717
Rh  0.699  0.850  0.283
Rh  0.500  0.500  0.000
Rh  0.500  0.000  0.000
Rh  0.150  0.850  0.283
Rh  0.850  0.150  0.717
Ge  0.000  0.000  0.500
Tb  0.333  0.667  0.696
Tb  0.667  0.333  0.304
Tb  0.000  0.000  0.000

---

(5)
Below is a geometry-optimized RbGa2HgBr6 structure, with properties calculated at the PBE-GGA level.

Results
Volume: 43.8 Å³/atom
Formation energy without anion corrections: -0.835 eV/atom
Magnetization: 0.00 μB/cell
DOS at the Fermi energy: 0.307 states/eV/atom
Energy: -25.71 eV/f.u.

a = 10.516 Å, b = 10.516 Å, c = 8.279 Å
α = 101.82°, β = 101.82°, γ = 84.99°
Fractional coordinates of all 20 atoms:
Ga  0.691  0.850  0.238
Ga  0.309  0.150  0.762
Ga  0.850  0.691  0.738
Ga  0.150  0.309  0.262
Br  0.443  0.334  0.848
Br  0.175  0.157  0.988
Br  0.843  0.825  0.512
Br  0.557  0.045  0.275
Br  0.955  0.443  0.225
Br  0.045  0.557  0.775
Br  0.666  0.557  0.652
Br  0.825  0.843  0.012
Br  0.334  0.443  0.348
Br  0.557  0.666  0.152
Br  0.443  0.955  0.725
Br  0.157  0.175  0.488
Hg  0.799  0.201  0.750
Hg  0.201  0.799  0.250
Rb  0.347  0.653  0.750
Rb  0.653  0.347  0.250

---

(6)
Below is a geometry-optimized Y2BeIn structure, with properties calculated at the PBE-GGA level.

Results
Volume: 23.2 Å³/atom
Magnetization: 0.00 μB/cell
E above lowest polymorph: 0.00 eV per formula unit
DOS at the Fermi energy: 0.438 states/eV/atom
Energy: -20.27 eV/f.u.

a = 3.536 Å, b = 3.536 Å, c = 7.427 Å
α = 90.00°, β = 90.00°, γ = 90.01°
Fractional coordinates of all 4 atoms:
Y  0.000  0.000  0.030
Y  0.000  0.000  0.470
In  0.500  0.500  0.750
Be  0.500  0.500  0.250